Computed, not measured: a relaxed Sr3VFe2O9 crystal at the GGA+U level of DFT. Values from VASP.

Calculated values
E = -6.7302 eV per atom
spin magnetization = 9.0 Bohr magnetons per cell
density = 5.24 g/cm3
crystal system = trigonal
space group = No. 164

```
&SYSTEM
  ibrav = 0, nat = 15, ntyp = 4
/
ATOMIC_SPECIES
Sr 87.62 Sr.upf
V 50.94 V.upf
Fe 55.84 Fe.upf
O 16.00 O.upf
CELL_PARAMETERS angstrom
5.531 0.000 0.000
-2.765 4.790 0.000
0.000 0.000 6.808
ATOMIC_POSITIONS angstrom
Sr 0.000 0.000 0.000
Sr 0.000 3.193 4.560
Sr 2.765 1.597 2.248
V 0.000 0.000 3.404
Fe 0.000 3.193 1.130
Fe 2.765 1.597 5.678
O -1.383 2.395 0.000
O 0.000 1.557 2.310
O -1.417 4.011 2.310
O 1.349 0.779 4.498
O 2.765 0.000 0.000
O 1.383 2.395 0.000
O 1.417 4.011 2.310
O 4.182 0.779 4.498
O 2.765 3.232 4.498
```